PaCo4Ni: relaxed, PBE.

ΔE_f	-0.13	eV per atom
magnetization	4.65	μB/cell
space group	No. 216

Lattice parameters (Å, degrees): 4.8419 4.8419 4.8419 60.00 60.00 60.00
Positions (direct):
Pa1 0.0000 0.0000 0.0000
Co1 0.3766 0.3766 0.3766
Co2 0.3766 0.3766 0.8704
Co3 0.3766 0.8704 0.3766
Co4 0.8704 0.3766 0.3766
Ni1 0.7500 0.7500 0.7500